w:
VASP calculation (PBE) on a relaxed AcHgF4 crystal.

## Properties
The calculation puts the density at 8.46 g cm⁻³.

Structure (extended XYZ):
```
12
Lattice="4.4101 0.0492 0.0000 -2.2748 8.2102 0.0000 0.0000 0.0000 5.4439" Properties=species:S:1:pos:R:3 pbc="T T T"
F -0.0356 4.8724 1.3610
F -0.0256 2.6809 0.0321
F -0.0589 7.4025 4.0829
F 2.1709 3.3870 4.0829
F 2.1609 5.5785 2.7541
F 2.1942 0.8569 1.3610
F -0.0256 2.6809 2.6898
F 2.1609 5.5785 5.4118
Hg -0.0032 0.5793 4.0829
Hg 2.1385 7.6801 1.3610
Ac -0.0420 5.0183 4.0829
Ac 2.1772 3.2411 1.3610
```

x:
VASP calculation (PBE) on a relaxed AcHgF4 crystal.

## Properties
The calculation puts the density at 7.72 g cm⁻³.

Structure (extended XYZ):
```
12
Lattice="4.8473 0.3928 -2.0105 -0.8095 6.3233 -3.0467 -0.1844 -0.7462 7.4621" Properties=species:S:1:pos:R:3 pbc="T T T"
Ac 1.3152 3.9832 -0.6597
Ac 2.5383 1.9868 3.0646
F -0.4994 3.2322 4.8135
F 2.8172 2.2321 0.5206
F 1.3991 1.3029 5.1289
F 1.0363 3.7378 1.8843
F 2.4544 4.6671 -2.7240
F 4.3529 2.7378 -2.4086
F 2.8054 5.9531 0.0537
F 1.0482 0.0169 2.3512
Hg 0.0294 5.4068 3.4055
Hg 3.8241 0.5632 -1.0006
```

In kJ/mol of atoms, relative to the most stable structure: w 4.9; x 0.0.

w:
VASP calculation (PBE) on a relaxed Ac2InF crystal.

## Properties
The calculation puts the density at 7.11 g cm⁻³.

Structure (extended XYZ):
```
4
Lattice="3.9766 0.0000 0.0000 1.9883 3.4439 0.0000 1.9883 1.1480 10.0304" Properties=species:S:1:pos:R:3 pbc="T T T"
Ac 1.9883 1.1480 6.6443
Ac 5.9650 3.4439 3.3861
F 3.9766 2.2959 5.0152
In 0.0000 0.0000 0.0000
```

x:
VASP calculation (PBE) on a relaxed Ac2InF crystal.

## Properties
The calculation puts the density at 8.53 g cm⁻³.

Structure (extended XYZ):
```
4
Lattice="-1.5243 -2.0892 2.6421 1.4312 -3.0270 -1.5679 6.9030 0.8522 4.6563" Properties=species:S:1:pos:R:3 pbc="T T T"
In 3.4050 -2.1320 2.8653
Ac 1.6211 0.2001 1.0935
Ac 5.2819 0.6520 3.5628
F -0.0465 -2.5581 0.5371
```

In kJ/mol of atoms, relative to the most stable structure: w 16.0; x 0.0.